[1]
Compound: UPdRhAu
Source: the Alexandria database
Functional: GGA-PBE
Structure: relaxed

a b c (Å): 6.640 6.640 6.640
angles (deg): 90.00 90.00 90.00
Sites, in units of the cell vectors:
U 0.000 0.000 0.000
U 0.000 0.500 0.500
U 0.500 0.000 0.500
U 0.500 0.500 0.000
Pd 0.250 0.250 0.750
Pd 0.250 0.750 0.250
Pd 0.750 0.250 0.250
Pd 0.750 0.750 0.750
Rh 0.250 0.250 0.250
Rh 0.250 0.750 0.750
Rh 0.750 0.250 0.750
Rh 0.750 0.750 0.250
Au 0.000 0.000 0.500
Au 0.000 0.500 0.000
Au 0.500 0.000 0.000
Au 0.500 0.500 0.500

- Energy of formation from the pure elements: -0.37 eV per atom
- Total DFT energy (no corrections): -0.2625 hartree per atom
- D(E_F): 19.61 states/eV per cell
- Space-group type: F-43m, No. 216

---

[2]
Compound: AcSmTeIr
Source: the Alexandria database
Functional: GGA-PBE
Structure: relaxed

a b c (Å): 4.302 4.302 23.345
angles (deg): 90.00 90.00 120.00
Sites, in units of the cell vectors:
Ac 0.000 0.000 0.000
Ac 0.333 0.667 0.667
Ac 0.667 0.333 0.333
Sm 0.000 0.000 0.196
Sm 0.333 0.667 0.862
Sm 0.667 0.333 0.529
Te 0.000 0.000 0.771
Te 0.333 0.667 0.438
Te 0.667 0.333 0.105
Ir 0.000 0.000 0.594
Ir 0.333 0.667 0.261
Ir 0.667 0.333 0.927

- Total DFT energy (no corrections): -0.2283 hartree per atom
- ΔE_f (raw): -1.004 eV/atom
- D(E_F): 9.85 states/eV per cell
- Space-group type: R3m, No. 160

---

[3]
Compound: Tm2AlCo2
Source: the Alexandria database
Functional: GGA-PBE
Structure: relaxed

a b c (Å): 5.381 5.381 7.442
angles (deg): 102.31 102.31 59.25
Sites, in units of the cell vectors:
Tm 0.000 0.293 0.147
Tm 0.000 0.707 0.853
Tm 0.293 0.000 0.647
Tm 0.707 0.000 0.353
Al 0.373 0.627 0.250
Al 0.627 0.373 0.750
Co 0.211 0.505 0.494
Co 0.495 0.789 0.006
Co 0.505 0.211 0.994
Co 0.789 0.495 0.506

- Energy of formation from the pure elements: -0.44 eV per atom
- Total DFT energy (no corrections): -0.2137 hartree per atom
- D(E_F): 9.45 states/eV per cell
- Space-group type: C2/c, No. 15